[1]
Entry from Alexandria: a relaxed structure of Re2SiHg (PBE-GGA).

## Properties
Crystal system: cubic
Total magnetization, μB/cell: 0.0
Space-group type: Fm-3m
Relative energy among the computed polymorphs, meV per atom: 473

Cell: 4.439 4.439 4.439 Å, 60.00 60.00 60.00°
Fractional positions:
Si  0.000  0.000  0.000
Re  0.250  0.250  0.250
Re  0.750  0.750  0.750
Hg  0.500  0.500  0.500

***

[2]
Entry from Alexandria: a relaxed structure of Re4SiHg (PBE-GGA).

## Properties
Crystal system: cubic
Total magnetization, μB/cell: 0.0
Space-group type: F-43m

Cell: 5.244 5.244 5.244 Å, 60.00 60.00 60.00°
Fractional positions:
Re  0.625  0.124  0.625
Re  0.625  0.625  0.625
Re  0.124  0.625  0.625
Re  0.625  0.625  0.124
Hg  0.000  0.000  0.000
Si  0.250  0.250  0.250

***

[3]
Entry from Alexandria: a relaxed structure of ReSi2Hg (PBE-GGA).

## Properties
Crystal system: orthorhombic
Total magnetization, μB/cell: 0.0
Space-group type: Cmm2

Cell: 2.807 2.807 9.830 Å, 90.00 90.00 117.09°
Fractional positions:
Si  0.000  0.000  0.988
Si  0.500  0.500  0.208
Hg  0.000  0.000  0.513
Re  0.500  0.500  0.790

***

[4]
Entry from Alexandria: a relaxed structure of ReSiHg2 (PBE-GGA).

## Properties
Crystal system: orthorhombic
Total magnetization, μB/cell: 0.0
Space-group type: Immm

Cell: 7.576 7.576 7.576 Å, 157.70 150.36 37.41°
Fractional positions:
Hg  0.071  0.071  0.000
Hg  0.429  0.429  0.000
Re  0.750  0.250  0.500
Si  0.250  0.750  0.500

***

[5]
Entry from Alexandria: a relaxed structure of Re2SiHg (PBE-GGA).

## Properties
Crystal system: orthorhombic
Total magnetization, μB/cell: 0.0
Space-group type: Cmm2
Relative energy among the computed polymorphs, meV per atom: 241

Cell: 2.749 2.749 10.790 Å, 90.00 90.00 116.47°
Fractional positions:
Re  0.000  0.000  0.040
Re  0.500  0.500  0.240
Hg  0.500  0.500  0.776
Si  0.000  0.000  0.445

***

[6]
Entry from Alexandria: a relaxed structure of ReSiHg (PBE-GGA).

## Properties
Crystal system: tetragonal
Total magnetization, μB/cell: 0.3
Space-group type: I4mm
Relative energy among the computed polymorphs, meV per atom: 0

Cell: 5.495 5.495 5.495 Å, 146.01 146.01 48.84°
Fractional positions:
Hg  0.998  0.998  0.000
Si  0.706  0.706  0.000
Re  0.296  0.296  0.000

***

[7]
Entry from Alexandria: a relaxed structure of ReSiHg2 (PBE-GGA).

## Properties
Crystal system: trigonal
Total magnetization, μB/cell: 0.0
Space-group type: R3m

Cell: 9.586 9.586 9.586 Å, 18.25 18.25 18.25°
Fractional positions:
Hg  0.008  0.008  0.008
Hg  0.242  0.242  0.242
Si  0.762  0.762  0.762
Re  0.488  0.488  0.488

***

[8]
Entry from Alexandria: a relaxed structure of ReSiHg2 (PBE-GGA).

## Properties
Crystal system: orthorhombic
Total magnetization, μB/cell: 0.0
Space-group type: Imm2

Cell: 6.889 6.889 6.889 Å, 157.07 138.01 48.37°
Fractional positions:
Re  0.482  0.482  0.000
Si  0.319  0.819  0.500
Hg  0.694  0.194  0.500
Hg  0.005  0.005  0.000

***

[9]
Entry from Alexandria: a relaxed structure of ReSiHg2 (PBE-GGA).

## Properties
Crystal system: tetragonal
Total magnetization, μB/cell: 0.6
Space-group type: I-4m2

Cell: 5.138 5.138 5.138 Å, 133.05 133.05 68.57°
Fractional positions:
Re  0.500  0.500  0.000
Hg  0.000  0.000  0.000
Hg  0.250  0.750  0.500
Si  0.750  0.250  0.500

***

[10]
Entry from Alexandria: a relaxed structure of ReSi2Hg (PBE-GGA).

## Properties
Crystal system: monoclinic
Total magnetization, μB/cell: 0.0
Space-group type: Pm

Cell: 4.370 3.336 4.908 Å, 70.55 90.00 90.00°
Fractional positions:
Si  0.500  0.226  0.178
Si  0.000  0.810  0.008
Hg  0.000  0.537  0.544
Re  0.500  0.927  0.769

***

[11]
Entry from Alexandria: a relaxed structure of Re2SiHg (PBE-GGA).

## Properties
Crystal system: tetragonal
Total magnetization, μB/cell: 0.0
Space-group type: I-4m2
Relative energy among the computed polymorphs, meV per atom: 450

Cell: 4.855 4.855 4.855 Å, 131.59 131.59 70.88°
Fractional positions:
Re  0.250  0.750  0.500
Re  0.000  0.000  0.000
Hg  0.750  0.250  0.500
Si  0.500  0.500  0.000

***

[12]
Entry from Alexandria: a relaxed structure of Re2SiHg (PBE-GGA).

## Properties
Crystal system: trigonal
Total magnetization, μB/cell: 0.0
Space-group type: R-3m
Relative energy among the computed polymorphs, meV per atom: 102

Cell: 8.961 8.961 8.961 Å, 18.46 18.46 18.46°
Fractional positions:
Re  0.510  0.510  0.510
Re  0.990  0.990  0.990
Hg  0.750  0.750  0.750
Si  0.250  0.250  0.250

***

[13]
Entry from Alexandria: a relaxed structure of Re2SiHg (PBE-GGA).

## Properties
Crystal system: tetragonal
Total magnetization, μB/cell: 0.0
Space-group type: P4mm
Relative energy among the computed polymorphs, meV per atom: 34

Cell: 3.008 3.008 7.168 Å, 90.00 90.00 90.00°
Fractional positions:
Re  0.000  0.000  0.036
Re  0.500  0.500  0.264
Hg  0.500  0.500  0.746
Si  0.000  0.000  0.454

***

[14]
Entry from Alexandria: a relaxed structure of ReSi2Hg (PBE-GGA).

## Properties
Crystal system: monoclinic
Total magnetization, μB/cell: 0.0
Space-group type: C2/m

Cell: 4.884 5.220 3.207 Å, 70.65 92.96 118.93°
Fractional positions:
Hg  0.000  0.500  0.500
Si  0.000  0.000  0.000
Si  0.500  0.000  0.500
Re  0.500  0.500  0.000

***

[15]
Entry from Alexandria: a relaxed structure of ReSiHg (PBE-GGA).

## Properties
Crystal system: hexagonal
Total magnetization, μB/cell: 0.0
Space-group type: P-6m2
Relative energy among the computed polymorphs, meV per atom: 75

Cell: 4.166 4.166 3.461 Å, 90.00 90.00 120.00°
Fractional positions:
Hg  0.000  0.000  0.000
Si  0.333  0.667  0.500
Re  0.667  0.333  0.500

***

[16]
Entry from Alexandria: a relaxed structure of ReSi2Hg (PBE-GGA).

## Properties
Crystal system: monoclinic
Total magnetization, μB/cell: 0.0
Space-group type: P2/m

Cell: 3.040 3.048 7.628 Å, 88.63 90.00 90.00°
Fractional positions:
Si  0.000  0.261  0.571
Si  0.000  0.239  0.929
Re  0.500  0.750  0.750
Hg  0.500  0.250  0.250

***

[17]
Entry from Alexandria: a relaxed structure of Re2SiHg (PBE-GGA).

## Properties
Crystal system: monoclinic
Total magnetization, μB/cell: 0.0
Space-group type: C2/m
Relative energy among the computed polymorphs, meV per atom: 500

Cell: 5.316 5.316 2.829 Å, 76.37 76.37 115.92°
Fractional positions:
Si  0.500  0.000  0.500
Re  0.000  0.000  0.000
Re  0.500  0.500  0.000
Hg  0.000  0.500  0.500

***

[18]
Entry from Alexandria: a relaxed structure of ReSi2Hg (PBE-GGA).

## Properties
Crystal system: orthorhombic
Total magnetization, μB/cell: 0.0
Space-group type: Pmmm

Cell: 3.084 4.997 4.281 Å, 90.00 90.00 90.00°
Fractional positions:
Si  0.000  0.000  0.000
Si  0.500  0.500  0.000
Hg  0.500  0.000  0.500
Re  0.000  0.500  0.500

***

[19]
Entry from Alexandria: a relaxed structure of Re2SiHg (PBE-GGA).

## Properties
Crystal system: monoclinic
Total magnetization, μB/cell: 0.0
Space-group type: P2/m
Relative energy among the computed polymorphs, meV per atom: 217

Cell: 3.942 2.938 5.802 Å, 72.80 90.00 90.00°
Fractional positions:
Re  0.000  0.408  0.457
Re  0.000  0.092  0.043
Hg  0.500  0.750  0.750
Si  0.500  0.250  0.250

***

[20]
Entry from Alexandria: a relaxed structure of Re2SiHg (PBE-GGA).

## Properties
Crystal system: orthorhombic
Total magnetization, μB/cell: 0.0
Space-group type: Imm2
Relative energy among the computed polymorphs, meV per atom: 312

Cell: 5.459 5.459 5.459 Å, 147.66 132.40 58.73°
Fractional positions:
Hg  0.269  0.769  0.500
Re  0.976  0.976  0.000
Re  0.730  0.230  0.500
Si  0.525  0.525  0.000

***

[21]
Entry from Alexandria: a relaxed structure of ReSiHg2 (PBE-GGA).

## Properties
Crystal system: orthorhombic
Total magnetization, μB/cell: 0.0
Space-group type: Cmmm

Cell: 4.985 4.985 3.262 Å, 90.00 90.00 115.59°
Fractional positions:
Re  0.500  0.000  0.500
Hg  0.500  0.500  0.000
Hg  0.000  0.000  0.000
Si  0.000  0.500  0.500

***

[22]
Entry from Alexandria: a relaxed structure of ReSiHg2 (PBE-GGA).

## Properties
Crystal system: monoclinic
Total magnetization, μB/cell: 0.0
Space-group type: C2/m

Cell: 4.800 6.077 2.914 Å, 73.43 96.61 114.99°
Fractional positions:
Si  0.500  0.500  0.000
Hg  0.000  0.000  0.000
Hg  0.500  0.000  0.500
Re  0.000  0.500  0.500

***

[23]
Entry from Alexandria: a relaxed structure of ReSi2Hg (PBE-GGA).

## Properties
Crystal system: monoclinic
Total magnetization, μB/cell: 0.0
Space-group type: Cm

Cell: 6.995 6.995 4.090 Å, 73.16 73.16 22.89°
Fractional positions:
Si  0.929  0.929  0.071
Si  0.751  0.751  0.749
Re  0.265  0.265  0.235
Hg  0.556  0.556  0.445

***

[24]
Entry from Alexandria: a relaxed structure of Re2SiHg (PBE-GGA).

## Properties
Crystal system: tetragonal
Total magnetization, μB/cell: 0.0
Space-group type: I-42d
Relative energy among the computed polymorphs, meV per atom: 529

Cell: 3.957 3.957 9.727 Å, 78.26 78.26 90.00°
Fractional positions:
Si  0.250  0.750  0.500
Si  0.500  0.500  0.000
Re  0.375  0.452  0.750
Re  0.875  0.798  0.750
Re  0.202  0.625  0.250
Re  0.548  0.125  0.250
Hg  0.750  0.250  0.500
Hg  0.000  0.000  0.000

***

[25]
Entry from Alexandria: a relaxed structure of Re2SiHg (PBE-GGA).

## Properties
Crystal system: orthorhombic
Total magnetization, μB/cell: 0.0
Space-group type: Immm
Relative energy among the computed polymorphs, meV per atom: 200

Cell: 5.439 5.439 5.439 Å, 148.54 130.05 60.23°
Fractional positions:
Re  0.960  0.960  0.000
Re  0.540  0.540  0.000
Hg  0.250  0.750  0.500
Si  0.750  0.250  0.500

***

[26]
Entry from Alexandria: a relaxed structure of ReSi2Hg (PBE-GGA).

## Properties
Crystal system: cubic
Total magnetization, μB/cell: 0.0
Space-group type: F-43m

Cell: 4.543 4.543 4.543 Å, 60.00 60.00 60.00°
Fractional positions:
Re  0.250  0.250  0.250
Si  0.000  0.000  0.000
Si  0.750  0.750  0.750
Hg  0.500  0.500  0.500

***

[27]
Entry from Alexandria: a relaxed structure of Re2SiHg (PBE-GGA).

## Properties
Crystal system: orthorhombic
Total magnetization, μB/cell: 0.0
Space-group type: Pmmm
Relative energy among the computed polymorphs, meV per atom: 515

Cell: 2.923 4.835 4.564 Å, 90.00 90.00 90.00°
Fractional positions:
Re  0.000  0.000  0.000
Re  0.500  0.500  0.000
Si  0.500  0.000  0.500
Hg  0.000  0.500  0.500

***

[28]
Entry from Alexandria: a relaxed structure of ReSi2Hg (PBE-GGA).

## Properties
Crystal system: monoclinic
Total magnetization, μB/cell: 0.0
Space-group type: C2/m

Cell: 4.388 4.388 5.237 Å, 83.07 83.07 42.63°
Fractional positions:
Si  0.524  0.524  0.426
Si  0.976  0.976  0.074
Hg  0.750  0.750  0.750
Re  0.250  0.250  0.250

***

[29]
Entry from Alexandria: a relaxed structure of ReSiHg2 (PBE-GGA).

## Properties
Crystal system: orthorhombic
Total magnetization, μB/cell: 0.0
Space-group type: Cmm2

Cell: 2.829 2.829 11.321 Å, 90.00 90.00 114.73°
Fractional positions:
Si  0.500  0.500  0.697
Hg  0.500  0.500  0.291
Hg  0.000  0.000  0.987
Re  0.000  0.000  0.526

***

[30]
Entry from Alexandria: a relaxed structure of ReSi2Hg (PBE-GGA).

## Properties
Crystal system: trigonal
Total magnetization, μB/cell: 0.0
Space-group type: R-3m

Cell: 8.384 8.384 8.384 Å, 21.33 21.33 21.33°
Fractional positions:
Si  0.013  0.013  0.013
Si  0.487  0.487  0.487
Re  0.750  0.750  0.750
Hg  0.250  0.250  0.250

***

The evaluated volume for the records listed, in turn: 15.5; 17.0; 17.2; 20.4; 18.3; 17.2; 18.9; 21.2; 17.8; 16.9; 15.7; 15.8; 16.2; 16.7; 17.3; 17.7; 16.1; 16.5; 16.0; 15.9; 18.3; 18.5; 18.6; 18.2; 15.9; 16.6; 16.1; 16.9; 20.6; 17.1 Å³ per atom.
The evaluated DFT total energy for the records listed, in turn: -6.887; -8.362; -5.321; -4.125; -7.119; -5.627; -4.218; -4.060; -3.762; -5.529; -6.910; -7.258; -7.327; -5.157; -5.552; -5.722; -6.860; -5.071; -7.144; -7.048; -3.758; -3.842; -5.576; -6.832; -7.160; -4.900; -6.845; -5.544; -4.135; -5.687 eV per atom.
The evaluated uncorrected formation energy for the records listed, in turn: 0.77; 0.89; 0.58; 0.49; 0.54; 0.43; 0.40; 0.56; 0.86; 0.37; 0.75; 0.40; 0.33; 0.74; 0.51; 0.18; 0.80; 0.83; 0.51; 0.61; 0.86; 0.78; 0.32; 0.82; 0.50; 1.00; 0.81; 0.35; 0.48; 0.21 eV per atom.